Below is a crystal of BaScNb2 relaxed with PBEsol, with properties calculated at the SCAN level. Values from VASP.

```
&SYSTEM
  ibrav = 0, nat = 16, ntyp = 3
/
ATOMIC_SPECIES
Ba 137.33 Ba.upf
Sc 44.96 Sc.upf
Nb 92.91 Nb.upf
CELL_PARAMETERS angstrom
7.088 0.000 0.000
0.000 7.088 0.000
0.000 0.000 7.088
ATOMIC_POSITIONS crystal
Ba 0.000 0.000 0.000
Ba 0.000 0.500 0.500
Ba 0.500 0.000 0.500
Ba 0.500 0.500 0.000
Sc 0.000 0.000 0.500
Sc 0.000 0.500 0.000
Sc 0.500 0.000 0.000
Sc 0.500 0.500 0.500
Nb 0.250 0.250 0.250
Nb 0.250 0.250 0.750
Nb 0.250 0.750 0.250
Nb 0.250 0.750 0.750
Nb 0.750 0.250 0.250
Nb 0.750 0.250 0.750
Nb 0.750 0.750 0.250
Nb 0.750 0.750 0.750
```

Results
* space-group type: Fm-3m
* final energy: -462.2 eV per cell
* formation energy from the elements: 1123 meV/atom
* DOS at the Fermi energy: 1.5885 states/eV per atom